A plane-wave DFT calculation with PBE was carried out for a relaxed structure of RbBa2Al.

abc: 4.2628 4.2628 11.8282
angles: 90.00 90.00 90.00
Last column: nearest neighbours and their distance in Å.
Element x y z (fractional)
Rb: 0.0000 0.0000 0.0000  4 Rb 4.26
Ba: 0.5000 0.5000 0.3380  4 Al 3.57, 1 Ba 3.83
Ba: 0.5000 0.5000 0.6620  4 Al 3.57, 1 Ba 3.83
Al: 0.0000 0.0000 0.5000  8 Ba 3.57

Formation energy from the elements   -0.02 eV per atom
Energy   -2.162 eV per atom
Density   2.991 g/cm³